Compound: HoIn6Hg
Source: Alexandria via LeMat-Bulk
Functional: GGA-PBE
Structure: optimized geometry

The final energy comes out at -2.794 eV per atom. Its density is 8.46 g cm⁻³.

abc: 4.6520 6.6708 6.6708
angles: 90.11 90.00 90.00
With the nearest neighbours (Å) after each atom.
Sites, in units of the cell vectors:
Ho1 0.5000 0.0000 0.0000  12 In 3.32-3.34
In1 0.0000 0.7495 0.2505  2 Hg 3.31, 8 In 3.31-3.34, 2 Ho 3.32
In2 0.0000 0.2505 0.7495  2 Hg 3.31, 8 In 3.31-3.34, 2 Ho 3.32
In3 0.0000 0.7492 0.7492  2 Hg 3.31, 8 In 3.31-3.34, 2 Ho 3.32
In4 0.0000 0.2508 0.2508  2 Hg 3.31, 8 In 3.31-3.34, 2 Ho 3.32
In5 0.5000 0.5000 0.0000  8 In 3.31, 2 Hg 3.34, 2 Ho 3.34
In6 0.5000 0.0000 0.5000  8 In 3.31, 2 Ho 3.34, 2 Hg 3.34
Hg1 0.5000 0.5000 0.5000  12 In 3.31-3.34